1.
# AcEu2F | Alexandria | PBE-GGA | optimized geometry
data_AcEu2F
_chemical_formula_sum 'Ac3 Eu6 F3'
_cell_length_a 3.9177
_cell_length_b 3.9177
_cell_length_c 29.0451
_cell_angle_alpha 90.00
_cell_angle_beta 90.00
_cell_angle_gamma 120.00
_space_group_name_H-M_alt 'R -3 m'
_space_group_IT_number 166
_space_group_name_Hall '-R 3 2"'
loop_
_atom_site_label
_atom_site_fract_x
_atom_site_fract_y
_atom_site_fract_z
Ac1 0.0000 0.0000 0.0000
Eu1 0.0000 0.0000 0.2202
F1 0.0000 0.0000 0.5000
# Formation energy (no corrections) ... -1.252 eV/atom
# Calculated total energy ... -0.2897 Ha/atom
# Fermi-level density of states ... 9.3 states/eV per cell



2.
# MgTa2Mn | Alexandria | PBE-GGA | optimized geometry
data_MgTa2Mn
_chemical_formula_sum 'Mg2 Ta4 Mn2'
_cell_length_a 3.416
_cell_length_b 4.523
_cell_length_c 9.169
_cell_angle_alpha 90.00
_cell_angle_beta 90.00
_cell_angle_gamma 90.00
_space_group_name_H-M_alt 'C m m 2'
_space_group_IT_number 35
loop_
_space_group_symop_operation_xyz
'x,y,z'
'-x,-y,z'
'-x,y,z'
'x,-y,z'
'x+1/2,y+1/2,z'
'-x+1/2,-y+1/2,z'
'-x+1/2,y+1/2,z'
'x+1/2,-y+1/2,z'
loop_
_atom_site_label
_atom_site_fract_x
_atom_site_fract_y
_atom_site_fract_z
Mg1 0.000 0.000 0.000
Ta1 0.000 0.000 0.528
Ta2 0.000 0.500 0.277
Mn1 0.000 0.500 0.752
# Calculated total energy ... -0.3094 Ha/atom
# ΔH_f (0 K) ... 0.20 eV per atom
# Fermi-level density of states ... 8.1 states/eV per cell



3.
# Ac3CeF | Alexandria | PBE-GGA | optimized geometry
data_Ac3CeF
_chemical_formula_sum 'Ac3 Ce1 F1'
_cell_length_a 5.523
_cell_length_b 5.523
_cell_length_c 5.523
_cell_angle_alpha 90.00
_cell_angle_beta 90.00
_cell_angle_gamma 90.00
_space_group_name_H-M_alt 'P m -3 m'
_space_group_IT_number 221
_space_group_name_Hall '-P 4 2 3'
loop_
_atom_site_label
_atom_site_fract_x
_atom_site_fract_y
_atom_site_fract_z
Ac1 0.000 0.000 0.500
Ce1 0.500 0.500 0.500
F1 0.000 0.000 0.000
# Formation energy (no corrections) ... -0.891 eV/atom
# Calculated total energy ... -0.1807 Ha/atom
# Fermi-level density of states ... 9.9 states/eV per cell



4.
# Tl5Pb7 | Alexandria | PBE-GGA | optimized geometry
data_Tl5Pb7
_chemical_formula_sum 'Tl5 Pb7'
_cell_length_a 3.549
_cell_length_b 10.701
_cell_length_c 9.895
_cell_angle_alpha 90.00
_cell_angle_beta 90.00
_cell_angle_gamma 90.00
_space_group_name_H-M_alt 'P m m 2'
_space_group_IT_number 25
loop_
_space_group_symop_operation_xyz
'x,y,z'
'-x,-y,z'
'-x,y,z'
'x,-y,z'
loop_
_atom_site_label
_atom_site_fract_x
_atom_site_fract_y
_atom_site_fract_z
Tl1 0.000 0.000 0.000
Tl2 0.000 0.337 0.503
Tl3 0.500 0.166 0.252
Pb1 0.000 0.000 0.511
Pb2 0.000 0.334 0.001
Pb3 0.500 0.166 0.750
Pb4 0.500 0.500 0.245
Pb5 0.500 0.500 0.757
# Calculated total energy ... -0.1162 Ha/atom
# ΔH_f (0 K) ... -0.01 eV per atom
# Fermi-level density of states ... 5.1 states/eV per cell



5.
# CePm8Ga6 | Alexandria | PBE-GGA | optimized geometry
data_CePm8Ga6
_chemical_formula_sum 'Ce3 Pm24 Ga18'
_cell_length_a 8.8258
_cell_length_b 8.8258
_cell_length_c 18.8653
_cell_angle_alpha 90.00
_cell_angle_beta 90.00
_cell_angle_gamma 120.00
_space_group_name_H-M_alt 'R -3'
_space_group_IT_number 148
_space_group_name_Hall '-R 3'
loop_
_atom_site_label
_atom_site_fract_x
_atom_site_fract_y
_atom_site_fract_z
Ce1 0.0000 0.0000 0.0000
Pm1 0.0000 0.0000 0.3317
Pm2 0.0026 0.3295 0.1133
Ga1 0.9998 0.3348 0.9436
# Calculated total energy ... -0.1648 Ha/atom
# ΔH_f (0 K) ... -0.34 eV per atom
# Fermi-level density of states ... 62.3 states/eV per cell



6.
# Tb12PrEr5 | Alexandria | PBE-GGA | optimized geometry
data_Tb12PrEr5
_chemical_formula_sum 'Tb24 Pr2 Er10'
_cell_length_a 11.914
_cell_length_b 16.860
_cell_length_c 5.694
_cell_angle_alpha 90.00
_cell_angle_beta 90.00
_cell_angle_gamma 90.00
_space_group_name_H-M_alt 'C 1 2/m 1'
_space_group_IT_number 12
loop_
_space_group_symop_operation_xyz
'x,y,z'
'-x,-y,-z'
'-x,y,-z'
'x,-y,z'
'x+1/2,y+1/2,z'
'-x+1/2,-y+1/2,-z'
'-x+1/2,y+1/2,-z'
'x+1/2,-y+1/2,z'
loop_
_atom_site_label
_atom_site_fract_x
_atom_site_fract_y
_atom_site_fract_z
Tb1 0.151 0.179 0.000
Tb2 0.151 0.320 0.500
Tb3 0.196 0.000 0.503
Tb4 0.202 0.500 0.997
Pr1 0.000 0.500 0.500
Er1 0.000 0.000 0.000
Er2 0.000 0.138 0.500
Er3 0.000 0.360 0.000
# Calculated total energy ... -0.1663 Ha/atom
# ΔH_f (0 K) ... 0.10 eV per atom
# Fermi-level density of states ... 54.8 states/eV per cell



7.
# Ba3Sm2PaSb6 | Alexandria | PBE-GGA | optimized geometry
data_Ba3Sm2PaSb6
_chemical_formula_sum 'Ba6 Sm4 Pa2 Sb12'
_cell_length_a 8.049
_cell_length_b 13.958
_cell_length_c 8.366
_cell_angle_alpha 90.00
_cell_angle_beta 108.76
_cell_angle_gamma 90.00
_space_group_name_H-M_alt 'C 1 2/m 1'
_space_group_IT_number 12
loop_
_space_group_symop_operation_xyz
'x,y,z'
'-x,-y,-z'
'-x,y,-z'
'x,-y,z'
'x+1/2,y+1/2,z'
'-x+1/2,-y+1/2,-z'
'-x+1/2,y+1/2,-z'
'x+1/2,-y+1/2,z'
loop_
_atom_site_label
_atom_site_fract_x
_atom_site_fract_y
_atom_site_fract_z
Ba1 0.000 0.000 0.000
Ba2 0.000 0.330 0.000
Sm1 0.000 0.166 0.500
Pa1 0.000 0.500 0.500
Sb1 0.232 0.338 0.711
Sb2 0.249 0.000 0.713
# Formation energy (no corrections) ... -0.946 eV/atom
# Calculated total energy ... -0.1862 Ha/atom
# Fermi-level density of states ... 19.9 states/eV per cell



8.
# TbMgGa2Rh2 | Alexandria | PBE-GGA | optimized geometry
data_TbMgGa2Rh2
_chemical_formula_sum 'Tb1 Mg1 Ga2 Rh2'
_cell_length_a 4.3308
_cell_length_b 4.3308
_cell_length_c 6.6196
_cell_angle_alpha 90.00
_cell_angle_beta 90.00
_cell_angle_gamma 120.00
_space_group_name_H-M_alt 'P -3 m 1'
_space_group_IT_number 164
_space_group_name_Hall '-P 3 2"'
loop_
_atom_site_label
_atom_site_fract_x
_atom_site_fract_y
_atom_site_fract_z
Tb1 0.0000 0.0000 0.0000
Mg1 0.0000 0.0000 0.5000
Ga1 0.3333 0.6667 0.2702
Rh1 0.3333 0.6667 0.6645
# Calculated total energy ... -0.1923 Ha/atom
# ΔH_f (0 K) ... -0.74 eV per atom
# Fermi-level density of states ... 1.1 states/eV per cell



9.
# LiThBiO2 | Alexandria | PBE-GGA | optimized geometry
data_LiThBiO2
_chemical_formula_sum 'Li2 Th2 Bi2 O4'
_cell_length_a 3.981
_cell_length_b 3.981
_cell_length_c 14.792
_cell_angle_alpha 90.00
_cell_angle_beta 90.00
_cell_angle_gamma 90.00
_space_group_name_H-M_alt 'I 4 m m'
_space_group_IT_number 107
_space_group_name_Hall 'I 4 -2'
loop_
_atom_site_label
_atom_site_fract_x
_atom_site_fract_y
_atom_site_fract_z
Li1 0.000 0.000 0.000
Th1 0.000 0.000 0.393
Bi1 0.000 0.000 0.711
O1 0.000 0.500 0.457
# Formation energy (no corrections) ... -2.147 eV/atom
# Calculated total energy ... -0.2489 Ha/atom
# Fermi-level density of states ... 3.8 states/eV per cell



10.
# La8Tl | Alexandria | PBE-GGA | optimized geometry
data_La8Tl
_chemical_formula_sum 'La8 Tl1'
_cell_length_a 6.276
_cell_length_b 6.289
_cell_length_c 9.078
_cell_angle_alpha 89.73
_cell_angle_beta 89.53
_cell_angle_gamma 60.17
_space_group_name_H-M_alt 'P -1'
_space_group_IT_number 2
loop_
_space_group_symop_operation_xyz
'x,y,z'
'-x,-y,-z'
loop_
_atom_site_label
_atom_site_fract_x
_atom_site_fract_y
_atom_site_fract_z
La1 0.002 0.326 0.175
La2 0.312 0.997 0.827
La3 0.324 0.680 0.175
La4 0.328 0.338 0.500
Tl1 0.000 0.000 0.500
# Calculated total energy ... -0.1729 Ha/atom
# ΔH_f (0 K) ... -0.06 eV per atom
# Fermi-level density of states ... 15.4 states/eV per cell



11.
# AcDyY2Se4 | Alexandria | PBE-GGA | optimized geometry
data_AcDyY2Se4
_chemical_formula_sum 'Ac1 Dy1 Y2 Se4'
_cell_length_a 7.221
_cell_length_b 4.114
_cell_length_c 7.367
_cell_angle_alpha 90.00
_cell_angle_beta 108.61
_cell_angle_gamma 90.00
_space_group_name_H-M_alt 'P 1 2/m 1'
_space_group_IT_number 10
loop_
_space_group_symop_operation_xyz
'x,y,z'
'-x,-y,-z'
'-x,y,-z'
'x,-y,z'
loop_
_atom_site_label
_atom_site_fract_x
_atom_site_fract_y
_atom_site_fract_z
Ac1 0.000 0.000 0.000
Dy1 0.000 0.500 0.500
Y1 0.500 0.000 0.500
Y2 0.500 0.500 0.000
Se1 0.257 0.000 0.740
Se2 0.268 0.500 0.269
# Formation energy (no corrections) ... -1.754 eV/atom
# Calculated total energy ... -0.2279 Ha/atom
# Fermi-level density of states ... 4.6 states/eV per cell



12.
# TlIr2Cl | Alexandria | PBE-GGA | optimized geometry
data_TlIr2Cl
_chemical_formula_sum 'Tl3 Ir6 Cl3'
_cell_length_a 3.0776
_cell_length_b 3.0776
_cell_length_c 25.3029
_cell_angle_alpha 90.00
_cell_angle_beta 90.00
_cell_angle_gamma 120.00
_space_group_name_H-M_alt 'R -3 m'
_space_group_IT_number 166
_space_group_name_Hall '-R 3 2"'
loop_
_atom_site_label
_atom_site_fract_x
_atom_site_fract_y
_atom_site_fract_z
Tl1 0.0000 0.0000 0.0000
Ir1 0.0000 0.0000 0.2465
Cl1 0.0000 0.0000 0.5000
# Formation energy (no corrections) ... 0.802 eV/atom
# Calculated total energy ... -0.1721 Ha/atom
# Fermi-level density of states ... 11.4 states/eV per cell